A relaxed LiScAsO4 crystal, computed with GGA-PBE.

Computed properties:
The volume is 11.55 Å³/atom. As for the crystal system: orthorhombic. The density of states at the Fermi level is 11.42 states/eV/cell.

a = 6.263 Å, b = 6.338 Å, c = 8.146 Å
α = 90.00°, β = 90.00°, γ = 90.00°
Space group Imma (No. 74)
Asymmetric unit:
Li: 0.000 0.000 0.000
Sc: 0.250 0.250 0.250
As: 0.000 0.250 0.640
O: 0.000 0.028 0.245
O: 0.232 0.250 0.513



A relaxed LiAs2SeO crystal, computed with GGA-PBE.

Computed properties:
The volume is 17.75 Å³/atom. As for the crystal system: tetragonal. As for the energy relative to the lowest polymorph listed for this composition: 792 meV/atom. The density of states at the Fermi level is 7.31 states/eV/cell.

a = 4.571 Å, b = 4.571 Å, c = 4.248 Å
α = 90.00°, β = 90.00°, γ = 90.00°
Space group P4/mmm (No. 123)
Asymmetric unit:
Li: 0.000 0.000 0.000
As: 0.000 0.500 0.000
Se: 0.000 0.000 0.500
O: 0.500 0.500 0.500



| no. | magnetic moment (μB/cell) | formation energy from raw total energies (eV/atom) |
| --- | --- | --- |
| 1 | 0.032 | -2.100 |
| 2 | 0.000 | 0.842 |